Compound: MgS
Source: Alexandria via LeMat-Bulk
Functional: PBE
Structure: relaxed

Uncorrected formation energy = -2.70 eV/f.u.
Energy = -4.21 eV/atom
Total moment = 0.00 μB per cell
Crystal system = cubic

abc: 6.9844 6.9844 6.9844
angles: 90.00 90.00 90.00
Closest atoms and distances in Å follow each position.
Element x y z (fractional)
Mg 0.7500 0.0000 0.5000  4 S 2.47
Mg 0.5000 0.7500 0.0000  4 S 2.47
Mg 0.5000 0.2500 0.0000  4 S 2.47
Mg 0.0000 0.5000 0.2500  4 S 2.47
Mg 0.0000 0.5000 0.7500  4 S 2.47
Mg 0.2500 0.0000 0.5000  4 S 2.47
S 0.0000 0.2500 0.5000  4 Mg 2.47
S 0.5000 0.0000 0.7500  4 Mg 2.47
S 0.5000 0.0000 0.2500  4 Mg 2.47
S 0.2500 0.5000 0.0000  4 Mg 2.47
S 0.7500 0.5000 0.0000  4 Mg 2.47
S 0.0000 0.7500 0.5000  4 Mg 2.47